# 1
Material: Li2LaBe
Method: DFT, PBE-GGA
State: optimized geometry

The formation energy is 213 meV/atom.

Cell: 3.3262 3.3262 7.5853 Å, 90.00 90.00 90.00°
Positions (direct):
Be: 0.0000 0.0000 0.4485
La: 0.5000 0.5000 0.7023
Li: 0.0000 0.0000 0.0663
Li: 0.5000 0.5000 0.2829

=====

# 2
Material: TbSm2Sb3
Method: DFT, PBE-GGA
State: optimized geometry

The electronic total energy comes out at -5.5722 eV per atom.

Cell: 4.4501 6.2880 7.7042 Å, 114.09 106.79 90.00°
Positions (direct):
Sb: 0.3357 0.3357 0.6715
Sb: 0.6643 0.6643 0.3285
Sb: 0.0000 0.0000 0.0000
Sm: 0.3326 0.8326 0.6653
Sm: 0.6674 0.1674 0.3347
Tb: 0.0000 0.5000 0.0000

=====

# 3
Material: Ho3USe6
Method: DFT, PBE-GGA
State: optimized geometry

The electronic total energy comes out at -6.1515 eV per atom.

Cell: 7.1246 8.8669 8.8669 Å, 102.83 90.00 90.00°
Site moments in Bohr magnetons follow the coordinates.
Positions (direct):
Ho: 0.9812 0.0848 0.2949  0.04
Ho: 0.3787 0.4058 0.5942  0.01
Ho: 0.8787 0.5942 0.4058  0.01
Ho: 0.4812 0.9152 0.7051  0.04
Ho: 0.9812 0.7051 0.9152  0.04
Ho: 0.4812 0.2949 0.0848  0.04
Se: 0.6718 0.6321 0.6995  0.00
Se: 0.2111 0.0982 0.5588  -0.02
Se: 0.7601 0.9914 0.0086  -0.03
Se: 0.1718 0.6995 0.6321  0.00
Se: 0.1203 0.7705 0.2295  -0.02
Se: 0.6718 0.3005 0.3679  0.00
Se: 0.1718 0.3679 0.3005  0.00
Se: 0.7111 0.5588 0.0982  -0.02
Se: 0.7111 0.9018 0.4412  -0.02
Se: 0.2111 0.4412 0.9018  -0.02
Se: 0.6203 0.2295 0.7705  -0.02
Se: 0.2601 0.0086 0.9914  -0.03
U: 0.4981 0.8319 0.1681  2.73
U: 0.9981 0.1681 0.8319  2.73

=====

# 4
Material: ZrAlCu
Method: DFT, PBE-GGA
State: optimized geometry

The formation energy is -243 meV/atom.

Cell: 2.8659 5.1105 7.3768 Å, 105.13 101.14 90.01°
Positions (direct):
Al: 0.5583 0.2855 0.8416
Al: 0.7895 0.9457 0.3037
Zr: 0.2500 0.4108 0.2233
Zr: 0.0977 0.8204 0.9221
Cu: 0.9231 0.3969 0.5702
Cu: 0.4259 0.8347 0.5752

=====

# 5
Material: Ba4Sn2Hg
Method: DFT, PBE-GGA
State: optimized geometry

The formation energy is -604 meV/atom.

Cell: 5.9958 5.9958 10.3695 Å, 73.20 73.20 60.00°
Positions (direct):
Sn: 0.2495 0.2495 0.2515
Sn: 0.7505 0.7505 0.7485
Hg: 0.0000 0.0000 0.0000
Ba: 0.1242 0.1242 0.6275
Ba: 0.6258 0.6258 0.1227
Ba: 0.8758 0.8758 0.3725
Ba: 0.3742 0.3742 0.8773

=====

# 6
Material: K2PuOsO6
Method: DFT, PBE-GGA
State: optimized geometry

The electronic total energy comes out at -7.5964 eV per atom.

Cell: 5.8155 5.8161 6.6853 Å, 64.19 64.19 90.00°
Site moments in Bohr magnetons follow the coordinates.
Positions (direct):
O: 0.1778 0.1778 0.6442  -0.10
O: 0.2743 0.7259 0.0000  0.04
O: 0.7257 0.2741 0.0000  0.04
O: 0.2744 0.2747 0.9994  0.04
O: 0.8222 0.8222 0.3558  -0.10
O: 0.7256 0.7253 0.0006  0.04
Os: 0.5000 0.5000 0.0000  0.91
K: 0.7501 0.2501 0.4999  0.00
K: 0.2499 0.7499 0.5001  0.00
Pu: 0.0000 0.0000 0.0000  3.01